(1)
# CrCoGePt2

CrCoGePt2 after structural relaxation (PBE-GGA, Alexandria).

abc: 4.674 4.674 4.122
angles: 90.00 90.00 90.00
Space group P4/mmm (No. 123)
Inequivalent atoms, fractional coordinates:
Cr  0.000  0.000  0.000 (multiplicity 1)
Co  0.000  0.000  0.500 (multiplicity 1)
Ge  0.500  0.500  0.500 (multiplicity 1)
Pt  0.000  0.500  0.000 (multiplicity 2)

Computed properties:
calculated formation energy = 0.91 eV per atom

(2)
# Pu2CrCoGe6

Pu2CrCoGe6 after structural relaxation (PBE-GGA, Alexandria).

abc: 6.0315 6.0315 5.5977
angles: 90.00 90.00 120.00
Space group P-3m1 (No. 164)
Inequivalent atoms, fractional coordinates:
Pu  0.3333  0.6667  0.2540 (multiplicity 2)
Cr  0.0000  0.0000  0.5000 (multiplicity 1)
Co  0.0000  0.0000  0.0000 (multiplicity 1)
Ge  0.1899  0.3799  0.7568 (multiplicity 6)

Computed properties:
calculated formation energy = -0.32 eV per atom

(3)
# CrCoGe2Rh

CrCoGe2Rh after structural relaxation (PBE-GGA, Alexandria).

abc: 4.328 4.328 4.617
angles: 90.00 90.00 90.00
Space group P4/mmm (No. 123)
Inequivalent atoms, fractional coordinates:
Cr  0.000  0.000  0.000 (multiplicity 1)
Co  0.500  0.500  0.500 (multiplicity 1)
Ge  0.000  0.500  0.500 (multiplicity 2)
Rh  0.500  0.500  0.000 (multiplicity 1)

Computed properties:
calculated formation energy = 1.01 eV per atom

(4)
# ZnCr2CoGe

ZnCr2CoGe after structural relaxation (PBE-GGA, Alexandria).

abc: 4.343 4.343 4.238
angles: 90.00 90.00 90.00
Space group P4/mmm (No. 123)
Inequivalent atoms, fractional coordinates:
Zn  0.000  0.000  0.000 (multiplicity 1)
Cr  0.000  0.500  0.000 (multiplicity 2)
Co  0.000  0.000  0.500 (multiplicity 1)
Ge  0.500  0.500  0.500 (multiplicity 1)

Computed properties:
calculated formation energy = 1.53 eV per atom

(5)
# Cr2CoH

Cr2CoH after structural relaxation (PBE-GGA, Alexandria).

abc: 4.126 4.126 10.000
angles: 90.00 90.00 90.00
Space group I-42d (No. 122)
Inequivalent atoms, fractional coordinates:
Cr  0.128  0.250  0.125 (multiplicity 8)
Co  0.000  0.000  0.500 (multiplicity 4)
H  0.000  0.000  0.000 (multiplicity 4)

Computed properties:
raw total energy = -6.760 eV per atom

(6)
# Cr2CoH

Cr2CoH after structural relaxation (PBE-GGA, Alexandria).

abc: 4.420 2.566 6.474
angles: 90.00 103.45 90.00
Space group C2/m (No. 12)
Inequivalent atoms, fractional coordinates:
Cr  0.229  0.000  0.183 (multiplicity 4)
Co  0.000  0.000  0.500 (multiplicity 2)
H  0.000  0.500  0.000 (multiplicity 2)

Computed properties:
raw total energy = -7.336 eV per atom

| no. | magnetic moment (Bohr magnetons per cell) |
| --- | --- |
| 1 | 0.8 |
| 2 | 10.5 |
| 3 | 0.0 |
| 4 | 0.0 |
| 5 | 0.0 |
| 6 | 1.0 |